Here is crystalline YWIO4 at its relaxed geometry from the Alexandria database. Energies are from PBE with a Hubbard U.

Properties
Raw total energy (eV per formula unit): -50.7

abc: 6.583 6.583 7.185
angles: 104.15 104.15 67.17
Fractional coordinates of all 14 atoms:
Y1 0.243 0.243 0.137
Y2 0.757 0.757 0.863
W1 0.367 0.367 0.738
W2 0.633 0.633 0.262
I1 0.017 0.017 0.753
I2 0.983 0.983 0.247
O1 0.111 0.498 0.847
O2 0.307 0.307 0.476
O3 0.460 0.460 0.190
O4 0.498 0.111 0.847
O5 0.502 0.889 0.153
O6 0.540 0.540 0.810
O7 0.693 0.693 0.524
O8 0.889 0.502 0.153



Here is crystalline SrTaCrO6 at its relaxed geometry from the Alexandria database. Energies are from PBE with a Hubbard U.

Properties
Raw total energy (eV per formula unit): -70.4

abc: 4.952 4.952 9.645
angles: 90.00 90.00 90.00
Fractional coordinates of all 18 atoms:
Sr1 0.000 0.000 0.000
Sr2 0.500 0.500 0.500
Ta1 0.000 0.000 0.651
Ta2 0.500 0.500 0.151
Cr1 0.000 0.000 0.331
Cr2 0.500 0.500 0.831
O1 0.167 0.167 0.486
O2 0.233 0.233 0.195
O3 0.248 0.248 0.789
O4 0.252 0.748 0.289
O5 0.267 0.733 0.695
O6 0.333 0.667 0.986
O7 0.667 0.333 0.986
O8 0.733 0.267 0.695
O9 0.748 0.252 0.289
O10 0.752 0.752 0.789
O11 0.767 0.767 0.195
O12 0.833 0.833 0.486